# 1
! Ba2FeAsP, relaxed, DFT PBE; values from VASP
&SYSTEM
  ibrav = 0, nat = 10, ntyp = 4
/
ATOMIC_SPECIES
Ba 137.33 Ba.upf
Fe 55.84 Fe.upf
As 74.92 As.upf
P 30.97 P.upf
CELL_PARAMETERS angstrom
2.1535 -8.9618 0.0000
2.1535 8.9618 0.0000
0.0000 0.0000 8.0978
ATOMIC_POSITIONS angstrom
Ba 2.1535 8.4582 4.0489
Ba 2.1535 4.8938 1.2678
Ba 2.1535 -4.8938 5.3167
Ba 2.1535 -8.4582 0.0000
Fe 2.1535 2.1633 3.3315
Fe 2.1535 -2.1633 7.3804
As 2.1535 1.5645 5.6465
As 2.1535 -1.5645 1.5976
P 2.1535 6.3554 6.5053
P 2.1535 -6.3554 2.4563
! - symmetry = Cmc2_1 (36)
! - E_tot (eV per cell) = -51.2



# 2
! DyLuNO, relaxed, DFT PBE; values from VASP
&SYSTEM
  ibrav = 0, nat = 8, ntyp = 4
/
ATOMIC_SPECIES
Dy 162.50 Dy.upf
Lu 174.97 Lu.upf
N 14.01 N.upf
O 16.00 O.upf
CELL_PARAMETERS angstrom
4.7668 0.0000 0.0000
0.0000 3.9134 0.0000
0.0000 0.0000 6.7790
ATOMIC_POSITIONS angstrom
Dy 1.1917 0.0000 1.1129
Dy 3.5751 0.0000 5.6662
Lu 1.1917 1.9567 4.5244
Lu 3.5751 1.9567 2.2546
N 1.1917 1.9567 2.3178
N 3.5751 1.9567 4.4612
O 1.1917 0.0000 5.5155
O 3.5751 0.0000 1.2635
! - symmetry = Pmma (51)
! - E_tot (eV per cell) = -63.0
! - relative energy among the computed polymorphs (meV per atom) = 58



# 3
! SmIn, relaxed, DFT PBE; values from VASP
&SYSTEM
  ibrav = 0, nat = 2, ntyp = 2
/
ATOMIC_SPECIES
Sm 150.36 Sm.upf
In 114.82 In.upf
CELL_PARAMETERS angstrom
0.0000 3.5140 3.5140
3.5140 0.0000 3.5140
3.5140 3.5140 0.0000
ATOMIC_POSITIONS angstrom
Sm 0.0000 0.0000 0.0000
In 1.7570 1.7570 1.7570
! - symmetry = F-43m (216)
! - E_tot (eV per cell) = -6.2



> Which value of E_tot does entry 3 give?

-6.2 eV per cell



> Which formula does entry 2 have?

DyLuNO



> Which formula does entry 2 have?

DyLuNO



> Among the records above, which one has the highest E_tot?

SmIn